Dy2TiBiO6 | PBE-GGA | relaxed

Output
- energy (eV/cell) = -76.20
- total magnetic moment (μB per formula unit) = 0.00
- energy relative to the elements, uncorrected (meV per atom) = -2547

abc: 5.510 5.321 5.321
angles: 90.00 90.00 90.00
Fractional positions:
O  0.753  0.766  0.234
O  0.753  0.234  0.766
O  0.753  0.234  0.234
O  0.102  0.500  0.500
O  0.275  0.000  0.000
Dy  0.974  0.000  0.500
Ti  0.607  0.000  0.000
O  0.753  0.766  0.766
Bi  0.502  0.500  0.500
Dy  0.974  0.500  0.000